one.
# GGA-PBE CsTi3Ni, optimized geometry
data_CsTi3Ni
_chemical_formula_sum 'Cs1 Ti3 Ni1'
_cell_length_a 4.9047
_cell_length_b 4.9047
_cell_length_c 4.9047
_cell_angle_alpha 90.00
_cell_angle_beta 90.00
_cell_angle_gamma 90.00
_space_group_name_H-M_alt 'P m -3 m'
_space_group_IT_number 221
_space_group_name_Hall '-P 4 2 3'
loop_
_atom_site_label
_atom_site_fract_x
_atom_site_fract_y
_atom_site_fract_z
Cs1 0.0000 0.0000 0.0000
Ti1 0.0000 0.0000 0.5000
Ni1 0.5000 0.5000 0.5000
# Crystal system: cubic
# DOS at the Fermi energy in states/eV per atom: 2.44
# Density in g/cm3: 4.7

---

two.
# GGA-PBE CsTi3Ni, optimized geometry
data_CsTi3Ni
_chemical_formula_sum 'Cs1 Ti3 Ni1'
_cell_length_a 4.8145
_cell_length_b 4.8145
_cell_length_c 4.8145
_cell_angle_alpha 90.00
_cell_angle_beta 90.00
_cell_angle_gamma 90.00
_space_group_name_H-M_alt 'P m -3 m'
_space_group_IT_number 221
_space_group_name_Hall '-P 4 2 3'
loop_
_atom_site_label
_atom_site_fract_x
_atom_site_fract_y
_atom_site_fract_z
Cs1 0.0000 0.0000 0.0000
Ti1 0.0000 0.5000 0.5000
Ni1 0.5000 0.5000 0.5000
# Crystal system: cubic
# DOS at the Fermi energy in states/eV per atom: 2.01
# Density in g/cm3: 5.0

---

Going by the computed energies, the most stable comes first: two, one.

---

one.
# GGA-PBE CsTlNi2, optimized geometry
data_CsTlNi2
_chemical_formula_sum 'Cs4 Tl4 Ni8'
_cell_length_a 7.9223
_cell_length_b 7.9223
_cell_length_c 7.2138
_cell_angle_alpha 90.00
_cell_angle_beta 90.00
_cell_angle_gamma 90.00
_space_group_name_H-M_alt 'I -4 2 d'
_space_group_IT_number 122
_space_group_name_Hall 'I -4 2bw'
loop_
_atom_site_label
_atom_site_fract_x
_atom_site_fract_y
_atom_site_fract_z
Cs1 0.0000 0.0000 0.0000
Tl1 0.0000 0.0000 0.5000
Ni1 0.1656 0.7500 0.6250
# Crystal system: tetragonal
# DOS at the Fermi energy in states/eV per atom: 0.88
# Density in g/cm3: 6.7

---

two.
# GGA-PBE CsTlNi2, optimized geometry
data_CsTlNi2
_chemical_formula_sum 'Cs4 Tl4 Ni8'
_cell_length_a 7.1254
_cell_length_b 7.1254
_cell_length_c 7.1254
_cell_angle_alpha 90.00
_cell_angle_beta 90.00
_cell_angle_gamma 90.00
_space_group_name_H-M_alt 'F m -3 m'
_space_group_IT_number 225
_space_group_name_Hall '-F 4 2 3'
loop_
_atom_site_label
_atom_site_fract_x
_atom_site_fract_y
_atom_site_fract_z
Cs1 0.0000 0.0000 0.0000
Tl1 0.0000 0.0000 0.5000
Ni1 0.2500 0.2500 0.2500
# Crystal system: cubic
# DOS at the Fermi energy in states/eV per atom: 0.99
# Density in g/cm3: 8.3

---

Going by the computed energies, the most stable comes first: one, two.

---

one.
# GGA-PBE CsTl2Ni2, optimized geometry
data_CsTl2Ni2
_chemical_formula_sum 'Cs2 Tl4 Ni4'
_cell_length_a 4.9067
_cell_length_b 4.9067
_cell_length_c 12.7755
_cell_angle_alpha 90.00
_cell_angle_beta 90.00
_cell_angle_gamma 90.00
_space_group_name_H-M_alt 'I 4/m m m'
_space_group_IT_number 139
_space_group_name_Hall '-I 4 2'
loop_
_atom_site_label
_atom_site_fract_x
_atom_site_fract_y
_atom_site_fract_z
Cs1 0.0000 0.0000 0.0000
Tl1 0.0000 0.0000 0.3150
Ni1 0.0000 0.5000 0.2500
# Crystal system: tetragonal
# DOS at the Fermi energy in states/eV per atom: 0.72
# Density in g/cm3: 7.1

---

two.
# GGA-PBE CsTl2Ni2, optimized geometry
data_CsTl2Ni2
_chemical_formula_sum 'Cs2 Tl4 Ni4'
_cell_length_a 4.8776
_cell_length_b 4.8776
_cell_length_c 10.8095
_cell_angle_alpha 90.00
_cell_angle_beta 90.00
_cell_angle_gamma 90.00
_space_group_name_H-M_alt 'I 4/m m m'
_space_group_IT_number 139
_space_group_name_Hall '-I 4 2'
loop_
_atom_site_label
_atom_site_fract_x
_atom_site_fract_y
_atom_site_fract_z
Cs1 0.0000 0.0000 0.0000
Tl1 0.0000 0.5000 0.2500
Ni1 0.0000 0.0000 0.3880
# Crystal system: tetragonal
# DOS at the Fermi energy in states/eV per atom: 0.79
# Density in g/cm3: 8.5

---

Going by the computed energies, the most stable comes first: one, two.

---

one.
# GGA-PBE CsTlNi3, optimized geometry
data_CsTlNi3
_chemical_formula_sum 'Cs1 Tl1 Ni3'
_cell_length_a 5.0247
_cell_length_b 5.0247
_cell_length_c 5.0247
_cell_angle_alpha 90.00
_cell_angle_beta 90.00
_cell_angle_gamma 90.00
_space_group_name_H-M_alt 'P m -3 m'
_space_group_IT_number 221
_space_group_name_Hall '-P 4 2 3'
loop_
_atom_site_label
_atom_site_fract_x
_atom_site_fract_y
_atom_site_fract_z
Cs1 0.0000 0.0000 0.0000
Tl1 0.5000 0.5000 0.5000
Ni1 0.0000 0.5000 0.5000
# Crystal system: cubic
# DOS at the Fermi energy in states/eV per atom: 0.97
# Density in g/cm3: 6.7

---

two.
# GGA-PBE CsTlNi3, optimized geometry
data_CsTlNi3
_chemical_formula_sum 'Cs1 Tl1 Ni3'
_cell_length_a 4.9179
_cell_length_b 4.9179
_cell_length_c 4.9179
_cell_angle_alpha 90.00
_cell_angle_beta 90.00
_cell_angle_gamma 90.00
_space_group_name_H-M_alt 'P m -3 m'
_space_group_IT_number 221
_space_group_name_Hall '-P 4 2 3'
loop_
_atom_site_label
_atom_site_fract_x
_atom_site_fract_y
_atom_site_fract_z
Cs1 0.0000 0.0000 0.0000
Tl1 0.5000 0.5000 0.5000
Ni1 0.0000 0.0000 0.5000
# Crystal system: cubic
# DOS at the Fermi energy in states/eV per atom: 0.23
# Density in g/cm3: 7.2

---

Going by the computed energies, the most stable comes first: one, two.

---

one.
# GGA-PBE CsV3Ni, optimized geometry
data_CsV3Ni
_chemical_formula_sum 'Cs1 V3 Ni1'
_cell_length_a 4.7134
_cell_length_b 4.7134
_cell_length_c 4.7134
_cell_angle_alpha 90.00
_cell_angle_beta 90.00
_cell_angle_gamma 90.00
_space_group_name_H-M_alt 'P m -3 m'
_space_group_IT_number 221
_space_group_name_Hall '-P 4 2 3'
loop_
_atom_site_label
_atom_site_fract_x
_atom_site_fract_y
_atom_site_fract_z
Cs1 0.0000 0.0000 0.0000
V1 0.0000 0.0000 0.5000
Ni1 0.5000 0.5000 0.5000
# Crystal system: cubic
# DOS at the Fermi energy in states/eV per atom: 1.84
# Density in g/cm3: 5.5

---

two.
# GGA-PBE CsV3Ni, optimized geometry
data_CsV3Ni
_chemical_formula_sum 'Cs1 V3 Ni1'
_cell_length_a 4.8258
_cell_length_b 4.8258
_cell_length_c 4.8258
_cell_angle_alpha 90.00
_cell_angle_beta 90.00
_cell_angle_gamma 90.00
_space_group_name_H-M_alt 'P m -3 m'
_space_group_IT_number 221
_space_group_name_Hall '-P 4 2 3'
loop_
_atom_site_label
_atom_site_fract_x
_atom_site_fract_y
_atom_site_fract_z
Cs1 0.0000 0.0000 0.0000
V1 0.0000 0.5000 0.5000
Ni1 0.5000 0.5000 0.5000
# Crystal system: cubic
# DOS at the Fermi energy in states/eV per atom: 1.11
# Density in g/cm3: 5.1

---

Going by the computed energies, the most stable comes first: two, one.

---

one.
# GGA-PBE CsNiW3, optimized geometry
data_CsNiW3
_chemical_formula_sum 'Cs1 Ni1 W3'
_cell_length_a 4.8632
_cell_length_b 4.8632
_cell_length_c 4.8632
_cell_angle_alpha 90.00
_cell_angle_beta 90.00
_cell_angle_gamma 90.00
_space_group_name_H-M_alt 'P m -3 m'
_space_group_IT_number 221
_space_group_name_Hall '-P 4 2 3'
loop_
_atom_site_label
_atom_site_fract_x
_atom_site_fract_y
_atom_site_fract_z
Cs1 0.0000 0.0000 0.0000
Ni1 0.5000 0.5000 0.5000
W1 0.0000 0.0000 0.5000
# Crystal system: cubic
# DOS at the Fermi energy in states/eV per atom: 0.59
# Density in g/cm3: 10.7

---

two.
# GGA-PBE CsNiW3, optimized geometry
data_CsNiW3
_chemical_formula_sum 'Cs1 Ni1 W3'
_cell_length_a 4.7462
_cell_length_b 4.7462
_cell_length_c 4.7462
_cell_angle_alpha 90.00
_cell_angle_beta 90.00
_cell_angle_gamma 90.00
_space_group_name_H-M_alt 'P m -3 m'
_space_group_IT_number 221
_space_group_name_Hall '-P 4 2 3'
loop_
_atom_site_label
_atom_site_fract_x
_atom_site_fract_y
_atom_site_fract_z
Cs1 0.0000 0.0000 0.0000
Ni1 0.5000 0.5000 0.5000
W1 0.0000 0.5000 0.5000
# Crystal system: cubic
# DOS at the Fermi energy in states/eV per atom: 1.99
# Density in g/cm3: 11.5

---

Going by the computed energies, the most stable comes first: two, one.

---

one.
# GGA-PBE CsYNi3, optimized geometry
data_CsYNi3
_chemical_formula_sum 'Cs1 Y1 Ni3'
_cell_length_a 5.1561
_cell_length_b 5.1561
_cell_length_c 5.1561
_cell_angle_alpha 90.00
_cell_angle_beta 90.00
_cell_angle_gamma 90.00
_space_group_name_H-M_alt 'P m -3 m'
_space_group_IT_number 221
_space_group_name_Hall '-P 4 2 3'
loop_
_atom_site_label
_atom_site_fract_x
_atom_site_fract_y
_atom_site_fract_z
Cs1 0.0000 0.0000 0.0000
Y1 0.5000 0.5000 0.5000
Ni1 0.0000 0.5000 0.5000
# Crystal system: cubic
# DOS at the Fermi energy in states/eV per atom: 0.44
# Density in g/cm3: 4.8

---

two.
# GGA-PBE CsYNi3, optimized geometry
data_CsYNi3
_chemical_formula_sum 'Cs1 Y1 Ni3'
_cell_length_a 4.8540
_cell_length_b 4.8540
_cell_length_c 4.8540
_cell_angle_alpha 90.00
_cell_angle_beta 90.00
_cell_angle_gamma 90.00
_space_group_name_H-M_alt 'P m -3 m'
_space_group_IT_number 221
_space_group_name_Hall '-P 4 2 3'
loop_
_atom_site_label
_atom_site_fract_x
_atom_site_fract_y
_atom_site_fract_z
Cs1 0.0000 0.0000 0.0000
Y1 0.5000 0.5000 0.5000
Ni1 0.0000 0.0000 0.5000
# Crystal system: cubic
# DOS at the Fermi energy in states/eV per atom: 1.76
# Density in g/cm3: 5.8

---

Going by the computed energies, the most stable comes first: one, two.

---

one.
# GGA-PBE Cs2YNi, optimized geometry
data_Cs2YNi
_chemical_formula_sum 'Cs8 Y4 Ni4'
_cell_length_a 8.8650
_cell_length_b 8.8650
_cell_length_c 8.8650
_cell_angle_alpha 90.00
_cell_angle_beta 90.00
_cell_angle_gamma 90.00
_space_group_name_H-M_alt 'F m -3 m'
_space_group_IT_number 225
_space_group_name_Hall '-F 4 2 3'
loop_
_atom_site_label
_atom_site_fract_x
_atom_site_fract_y
_atom_site_fract_z
Cs1 0.2500 0.2500 0.2500
Y1 0.0000 0.0000 0.0000
Ni1 0.0000 0.0000 0.5000
# Crystal system: cubic
# DOS at the Fermi energy in states/eV per atom: 1.28
# Density in g/cm3: 3.9

---

two.
# GGA-PBE Cs2YNi, optimized geometry
data_Cs2YNi
_chemical_formula_sum 'Cs8 Y4 Ni4'
_cell_length_a 13.9152
_cell_length_b 13.9152
_cell_length_c 5.0220
_cell_angle_alpha 90.00
_cell_angle_beta 90.00
_cell_angle_gamma 90.00
_space_group_name_H-M_alt 'I -4 2 d'
_space_group_IT_number 122
_space_group_name_Hall 'I -4 2bw'
loop_
_atom_site_label
_atom_site_fract_x
_atom_site_fract_y
_atom_site_fract_z
Cs1 0.0870 0.2500 0.1250
Y1 0.0000 0.0000 0.5000
Ni1 0.0000 0.0000 0.0000
# Crystal system: tetragonal
# DOS at the Fermi energy in states/eV per atom: 1.59
# Density in g/cm3: 2.8

---

Going by the computed energies, the most stable comes first: two, one.

---

one.
# GGA-PBE CsY3Ni, optimized geometry
data_CsY3Ni
_chemical_formula_sum 'Cs1 Y3 Ni1'
_cell_length_a 5.5262
_cell_length_b 5.5262
_cell_length_c 5.5262
_cell_angle_alpha 90.00
_cell_angle_beta 90.00
_cell_angle_gamma 90.00
_space_group_name_H-M_alt 'P m -3 m'
_space_group_IT_number 221
_space_group_name_Hall '-P 4 2 3'
loop_
_atom_site_label
_atom_site_fract_x
_atom_site_fract_y
_atom_site_fract_z
Cs1 0.0000 0.0000 0.0000
Y1 0.0000 0.0000 0.5000
Ni1 0.5000 0.5000 0.5000
# Crystal system: cubic
# DOS at the Fermi energy in states/eV per atom: 0.75
# Density in g/cm3: 4.5

---

two.
# GGA-PBE CsY3Ni, optimized geometry
data_CsY3Ni
_chemical_formula_sum 'Cs1 Y3 Ni1'
_cell_length_a 5.5373
_cell_length_b 5.5373
_cell_length_c 5.5373
_cell_angle_alpha 90.00
_cell_angle_beta 90.00
_cell_angle_gamma 90.00
_space_group_name_H-M_alt 'P m -3 m'
_space_group_IT_number 221
_space_group_name_Hall '-P 4 2 3'
loop_
_atom_site_label
_atom_site_fract_x
_atom_site_fract_y
_atom_site_fract_z
Cs1 0.0000 0.0000 0.0000
Y1 0.0000 0.5000 0.5000
Ni1 0.5000 0.5000 0.5000
# Crystal system: cubic
# DOS at the Fermi energy in states/eV per atom: 1.49
# Density in g/cm3: 4.5

---

Going by the computed energies, the most stable comes first: two, one.

---

one.
# GGA-PBE Cs2ZnNi, optimized geometry
data_Cs2ZnNi
_chemical_formula_sum 'Cs8 Zn4 Ni4'
_cell_length_a 12.5182
_cell_length_b 12.5182
_cell_length_c 4.7293
_cell_angle_alpha 90.00
_cell_angle_beta 90.00
_cell_angle_gamma 90.00
_space_group_name_H-M_alt 'I -4 2 d'
_space_group_IT_number 122
_space_group_name_Hall 'I -4 2bw'
loop_
_atom_site_label
_atom_site_fract_x
_atom_site_fract_y
_atom_site_fract_z
Cs1 0.0789 0.2500 0.1250
Zn1 0.0000 0.0000 0.5000
Ni1 0.0000 0.0000 0.0000
# Crystal system: tetragonal
# DOS at the Fermi energy in states/eV per atom: 0.04
# Density in g/cm3: 3.5

---

two.
# GGA-PBE Cs2ZnNi, optimized geometry
data_Cs2ZnNi
_chemical_formula_sum 'Cs8 Zn4 Ni4'
_cell_length_a 8.6572
_cell_length_b 8.6572
_cell_length_c 8.6572
_cell_angle_alpha 90.00
_cell_angle_beta 90.00
_cell_angle_gamma 90.00
_space_group_name_H-M_alt 'F m -3 m'
_space_group_IT_number 225
_space_group_name_Hall '-F 4 2 3'
loop_
_atom_site_label
_atom_site_fract_x
_atom_site_fract_y
_atom_site_fract_z
Cs1 0.2500 0.2500 0.2500
Zn1 0.0000 0.0000 0.0000
Ni1 0.0000 0.0000 0.5000
# Crystal system: cubic
# DOS at the Fermi energy in states/eV per atom: 2.88
# Density in g/cm3: 4.0

---

Going by the computed energies, the most stable comes first: one, two.

---

one.
# GGA-PBE CsZrNi2, optimized geometry
data_CsZrNi2
_chemical_formula_sum 'Cs4 Zr4 Ni8'
_cell_length_a 7.5128
_cell_length_b 7.5128
_cell_length_c 7.5366
_cell_angle_alpha 90.00
_cell_angle_beta 90.00
_cell_angle_gamma 90.00
_space_group_name_H-M_alt 'I -4 2 d'
_space_group_IT_number 122
_space_group_name_Hall 'I -4 2bw'
loop_
_atom_site_label
_atom_site_fract_x
_atom_site_fract_y
_atom_site_fract_z
Cs1 0.0000 0.0000 0.0000
Zr1 0.0000 0.0000 0.5000
Ni1 0.1779 0.2500 0.6250
# Crystal system: tetragonal
# DOS at the Fermi energy in states/eV per atom: 0.94
# Density in g/cm3: 5.3

---

two.
# GGA-PBE CsZrNi2, optimized geometry
data_CsZrNi2
_chemical_formula_sum 'Cs4 Zr4 Ni8'
_cell_length_a 6.8816
_cell_length_b 6.8816
_cell_length_c 6.8816
_cell_angle_alpha 90.00
_cell_angle_beta 90.00
_cell_angle_gamma 90.00
_space_group_name_H-M_alt 'F m -3 m'
_space_group_IT_number 225
_space_group_name_Hall '-F 4 2 3'
loop_
_atom_site_label
_atom_site_fract_x
_atom_site_fract_y
_atom_site_fract_z
Cs1 0.0000 0.0000 0.0000
Zr1 0.0000 0.0000 0.5000
Ni1 0.2500 0.2500 0.2500
# Crystal system: cubic
# DOS at the Fermi energy in states/eV per atom: 0.72
# Density in g/cm3: 7.0

---

Going by the computed energies, the most stable comes first: one, two.

---

one.
# GGA-PBE Cs3NpO4, optimized geometry
data_Cs3NpO4
_chemical_formula_sum 'Cs6 Np2 O8'
_cell_length_a 7.0692
_cell_length_b 7.0692
_cell_length_c 8.4649
_cell_angle_alpha 90.00
_cell_angle_beta 90.00
_cell_angle_gamma 90.00
_space_group_name_H-M_alt 'I 4/m m m'
_space_group_IT_number 139
_space_group_name_Hall '-I 4 2'
loop_
_atom_site_label
_atom_site_fract_x
_atom_site_fract_y
_atom_site_fract_z
Cs1 0.0000 0.0000 0.0000
Cs2 0.0000 0.5000 0.2500
Np1 0.0000 0.0000 0.5000
O1 0.1967 0.1967 0.5000
# Crystal system: tetragonal
# DOS at the Fermi energy in states/eV per atom: 0.23
# Density in g/cm3: 5.5

---

two.
# GGA-PBE Cs3NpO4, optimized geometry
data_Cs3NpO4
_chemical_formula_sum 'Cs6 Np2 O8'
_cell_length_a 5.6283
_cell_length_b 6.9947
_cell_length_c 11.5274
_cell_angle_alpha 90.00
_cell_angle_beta 90.00
_cell_angle_gamma 90.00
_space_group_name_H-M_alt 'I m m m'
_space_group_IT_number 71
_space_group_name_Hall '-I 2 2'
loop_
_atom_site_label
_atom_site_fract_x
_atom_site_fract_y
_atom_site_fract_z
Cs1 0.0000 0.0000 0.0000
Cs2 0.0000 0.5000 0.2755
Np1 0.0000 0.0000 0.5000
O1 0.0000 0.0000 0.3283
O2 0.0000 0.2783 0.5000
# Crystal system: orthorhombic
# DOS at the Fermi energy in states/eV per atom: 0.11
# Density in g/cm3: 5.1

---

Going by the computed energies, the most stable comes first: one, two.